Compound: ScNbRu2
Source: Alexandria via LeMat-Bulk
Functional: PBE-GGA
Structure: relaxed

Lattice parameters (Å, degrees): 3.1801 4.5463 9.0329 90.00 90.00 90.00
With the nearest neighbours (Å) after each atom.
Positions (direct):
Sc 0.5000 0.7500 0.6224  8 Ru 2.78-2.84
Sc 0.5000 0.2500 0.3776  8 Ru 2.78-2.84
Ru 0.0000 0.2500 0.6354  2 Nb 2.66, 6 Sc 2.78-2.82
Nb 0.5000 0.7500 0.1286  8 Ru 2.66-2.78
Ru 0.0000 0.7500 0.3646  2 Nb 2.66, 6 Sc 2.78-2.82
Ru 0.0000 0.7500 0.8827  6 Nb 2.73-2.78, 2 Sc 2.84
Ru 0.0000 0.2500 0.1173  6 Nb 2.73-2.78, 2 Sc 2.84
Nb 0.5000 0.2500 0.8714  8 Ru 2.66-2.78

ρ: 8.65 g/cm³
Energy relative to the lowest polymorph listed for this composition: 0.0273 eV/atom
Density of states at the Fermi level: 1.26 states/eV/f.u.
Formation enthalpy at 0 K: -0.51 eV/atom

=====

Compound: ScNbRu2
Source: Alexandria via LeMat-Bulk
Functional: PBE-GGA
Structure: relaxed

Lattice parameters (Å, degrees): 6.9912 6.9912 5.7350 52.44 52.44 90.00
With the nearest neighbours (Å) after each atom.
Positions (direct):
Nb 0.0000 0.0000 0.0000  4 Ru 2.49
Ru 0.1063 0.6250 0.2500  2 Nb 2.49, 2 Sc 2.67
Nb 0.7500 0.2500 0.5000  4 Ru 2.49
Ru 0.8750 0.8937 0.7500  2 Nb 2.49, 2 Sc 2.67
Ru 0.3750 0.3563 0.7500  2 Nb 2.49, 2 Sc 2.67
Sc 0.2500 0.7500 0.5000  4 Ru 2.67, 2 Nb 2.91
Sc 0.5000 0.5000 0.0000  4 Ru 2.67, 2 Nb 2.91
Ru 0.6437 0.1250 0.2500  2 Nb 2.49, 2 Sc 2.67

ρ: 7.95 g/cm³
Energy relative to the lowest polymorph listed for this composition: 0.6761 eV/atom
Density of states at the Fermi level: 2.04 states/eV/f.u.
Formation enthalpy at 0 K: 0.13 eV/atom

=====

Compound: Sc3NbRu4
Source: Alexandria via LeMat-Bulk
Functional: PBE-GGA
Structure: relaxed

Lattice parameters (Å, degrees): 4.5206 4.5206 7.1550 108.46 108.42 90.00
With the nearest neighbours (Å) after each atom.
Positions (direct):
Ru 0.3788 0.3790 0.7577  2 Nb 2.74, 6 Sc 2.74-2.81
Ru 0.8788 0.8788 0.7577  6 Sc 2.74-2.81, 2 Nb 2.74
Ru 0.6212 0.6210 0.2423  2 Nb 2.74, 6 Sc 2.74-2.81
Ru 0.1212 0.1212 0.2423  6 Sc 2.74-2.81, 2 Nb 2.74
Sc 0.0000 0.5000 0.0000  8 Ru 2.74
Sc 0.2489 0.7489 0.4978  8 Ru 2.79-2.81
Nb 0.5000 0.0000 0.0000  8 Ru 2.74
Sc 0.7511 0.2511 0.5022  8 Ru 2.79-2.81

ρ: 8.03 g/cm³
Density of states at the Fermi level: 4.67 states/eV/f.u.
Formation enthalpy at 0 K: -0.58 eV/atom

=====

Compound: ScNbRu3
Source: Alexandria via LeMat-Bulk
Functional: PBE-GGA
Structure: relaxed

Lattice parameters (Å, degrees): 4.6889 4.6889 4.6889 90.00 90.00 90.00
With the nearest neighbours (Å) after each atom.
Positions (direct):
Ru 0.0000 0.5000 0.0000  2 Nb 2.34
Ru 0.5000 0.0000 0.0000  2 Nb 2.34
Ru 0.0000 0.0000 0.5000  2 Nb 2.34
Sc 0.5000 0.5000 0.5000  12 Ru 3.32
Nb 0.0000 0.0000 0.0000  6 Ru 2.34

ρ: 7.10 g/cm³
Energy relative to the lowest polymorph listed for this composition: 0.0000 eV/atom
Density of states at the Fermi level: 6.28 states/eV/f.u.
Formation enthalpy at 0 K: 0.89 eV/atom

=====

Compound: ScNb4Ru5
Source: Alexandria via LeMat-Bulk
Functional: PBE-GGA
Structure: relaxed

Lattice parameters (Å, degrees): 3.1128 3.1128 16.6834 90.00 90.00 90.00
With the nearest neighbours (Å) after each atom.
Positions (direct):
Nb 0.0000 0.0000 0.1969  8 Ru 2.70-2.78
Ru 0.5000 0.5000 0.5000  8 Nb 2.77
Ru 0.5000 0.5000 0.7011  8 Nb 2.76-2.78
Ru 0.5000 0.5000 0.8970  4 Nb 2.70, 4 Sc 2.79
Nb 0.0000 0.0000 0.3988  8 Ru 2.76-2.77
Nb 0.0000 0.0000 0.8031  8 Ru 2.70-2.78
Ru 0.5000 0.5000 0.1030  4 Nb 2.70, 4 Sc 2.79
Nb 0.0000 0.0000 0.6012  8 Ru 2.76-2.77
Sc 0.0000 0.0000 0.0000  8 Ru 2.79, 4 Sc 3.11
Ru 0.5000 0.5000 0.2989  8 Nb 2.76-2.78

ρ: 9.47 g/cm³
Density of states at the Fermi level: 7.92 states/eV/f.u.
Formation enthalpy at 0 K: -0.32 eV/atom

=====

Compound: ScNbRu2
Source: Alexandria via LeMat-Bulk
Functional: PBE-GGA
Structure: relaxed

Lattice parameters (Å, degrees): 4.5059 4.5059 4.5059 60.00 60.00 60.00
With the nearest neighbours (Å) after each atom.
Positions (direct):
Nb 0.5000 0.5000 0.5000  8 Ru 2.76
Ru 0.2500 0.2500 0.2500  4 Nb 2.76, 4 Sc 2.76
Ru 0.7500 0.7500 0.7500  4 Nb 2.76, 4 Sc 2.76
Sc 0.0000 0.0000 0.0000  8 Ru 2.76

ρ: 8.73 g/cm³
Energy relative to the lowest polymorph listed for this composition: 0.0000 eV/atom
Density of states at the Fermi level: 0.29 states/eV/f.u.
Formation enthalpy at 0 K: -0.54 eV/atom

=====

Compound: Sc3NbRu3
Source: Alexandria via LeMat-Bulk
Functional: PBE-GGA
Structure: relaxed

Lattice parameters (Å, degrees): 6.3924 6.3924 6.3292 90.01 90.01 86.27
With the nearest neighbours (Å) after each atom.
Positions (direct):
Ru 0.9999 0.9999 0.7549  2 Nb 2.62, 6 Sc 2.74-2.89
Ru 0.0001 0.0001 0.2451  2 Nb 2.62, 6 Sc 2.74-2.89
Nb 0.7741 0.7741 0.0001  6 Ru 2.62-2.68
Sc 0.7473 0.2527 0.5000  6 Ru 2.74-2.84
Sc 0.7532 0.7532 0.4998  6 Ru 2.72-2.81
Sc 0.7214 0.2786 0.0000  6 Ru 2.81-2.89
Sc 0.2468 0.2468 0.5002  6 Ru 2.72-2.81
Nb 0.2259 0.2259 0.9999  6 Ru 2.62-2.68
Sc 0.2527 0.7473 0.5000  6 Ru 2.74-2.84
Sc 0.2786 0.7214 0.0000  6 Ru 2.81-2.89
Ru 0.5000 0.0001 0.2433  2 Nb 2.68, 6 Sc 2.72-2.84
Ru 0.5000 0.9999 0.7567  2 Nb 2.68, 6 Sc 2.72-2.84
Ru 0.9999 0.5000 0.7567  2 Nb 2.68, 6 Sc 2.72-2.84
Ru 0.0001 0.5000 0.2433  2 Nb 2.68, 6 Sc 2.72-2.84

ρ: 6.83 g/cm³
Density of states at the Fermi level: 3.09 states/eV/f.u.
Formation enthalpy at 0 K: -0.42 eV/atom

=====

Compound: ScNbRu2
Source: Alexandria via LeMat-Bulk
Functional: PBE-GGA
Structure: relaxed

Lattice parameters (Å, degrees): 3.1823 3.1823 6.4256 90.00 90.00 90.00
With the nearest neighbours (Å) after each atom.
Positions (direct):
Sc 0.5000 0.5000 0.5000  8 Ru 2.80
Ru 0.0000 0.0000 0.7586  4 Nb 2.73, 4 Sc 2.80
Nb 0.5000 0.5000 0.0000  8 Ru 2.73
Ru 0.0000 0.0000 0.2414  4 Nb 2.73, 4 Sc 2.80

ρ: 8.68 g/cm³
Energy relative to the lowest polymorph listed for this composition: 0.0119 eV/atom
Density of states at the Fermi level: 1.46 states/eV/f.u.
Formation enthalpy at 0 K: -0.53 eV/atom

=====

Repeat the third record exactly.
Compound: Sc3NbRu4
Source: Alexandria via LeMat-Bulk
Functional: PBE-GGA
Structure: relaxed

Lattice parameters (Å, degrees): 4.5206 4.5206 7.1550 108.46 108.42 90.00
With the nearest neighbours (Å) after each atom.
Positions (direct):
Ru 0.3788 0.3790 0.7577  2 Nb 2.74, 6 Sc 2.74-2.81
Ru 0.8788 0.8788 0.7577  6 Sc 2.74-2.81, 2 Nb 2.74
Ru 0.6212 0.6210 0.2423  2 Nb 2.74, 6 Sc 2.74-2.81
Ru 0.1212 0.1212 0.2423  6 Sc 2.74-2.81, 2 Nb 2.74
Sc 0.0000 0.5000 0.0000  8 Ru 2.74
Sc 0.2489 0.7489 0.4978  8 Ru 2.79-2.81
Nb 0.5000 0.0000 0.0000  8 Ru 2.74
Sc 0.7511 0.2511 0.5022  8 Ru 2.79-2.81

ρ: 8.03 g/cm³
Density of states at the Fermi level: 4.67 states/eV/f.u.
Formation enthalpy at 0 K: -0.58 eV/atom

=====

Please write out number 2 again, unchanged.
Compound: ScNbRu2
Source: Alexandria via LeMat-Bulk
Functional: PBE-GGA
Structure: relaxed

Lattice parameters (Å, degrees): 6.9912 6.9912 5.7350 52.44 52.44 90.00
With the nearest neighbours (Å) after each atom.
Positions (direct):
Nb 0.0000 0.0000 0.0000  4 Ru 2.49
Ru 0.1063 0.6250 0.2500  2 Nb 2.49, 2 Sc 2.67
Nb 0.7500 0.2500 0.5000  4 Ru 2.49
Ru 0.8750 0.8937 0.7500  2 Nb 2.49, 2 Sc 2.67
Ru 0.3750 0.3563 0.7500  2 Nb 2.49, 2 Sc 2.67
Sc 0.2500 0.7500 0.5000  4 Ru 2.67, 2 Nb 2.91
Sc 0.5000 0.5000 0.0000  4 Ru 2.67, 2 Nb 2.91
Ru 0.6437 0.1250 0.2500  2 Nb 2.49, 2 Sc 2.67

ρ: 7.95 g/cm³
Energy relative to the lowest polymorph listed for this composition: 0.6761 eV/atom
Density of states at the Fermi level: 2.04 states/eV/f.u.
Formation enthalpy at 0 K: 0.13 eV/atom

=====

Question: Which formula does entry 1 have?
Answer: ScNbRu2